Model one:
VASP calculation (PBE-GGA) on AcPu2Co after structural relaxation.

```
AcPu2Co
1.0
3.5275 0.0000 0.0000
0.0000 3.5275 0.0000
0.0000 0.0000 8.3944
Co Pu Ac
1 2 1
direct
0.5000 0.5000 0.0000
0.0000 0.0000 0.1764
0.0000 0.0000 0.8236
0.5000 0.5000 0.5000
```

## Properties
Crystal system: tetragonal
M_tot: 10.3 μB/f.u.

Model two:
VASP calculation (PBE-GGA) on AcPu2Co after structural relaxation.

```
AcPu2Co
1.0
3.6943 0.0000 0.0000
1.8471 3.1993 0.0000
1.8471 1.0664 10.0739
Pu Co Ac
2 1 1
direct
0.1151 0.1151 0.6548
0.8849 0.8849 0.3452
0.5000 0.5000 0.5000
0.0000 0.0000 0.0000
```

## Properties
Crystal system: trigonal
M_tot: 11.0 μB/f.u.

It is model one that is the most stable of them.

Model one:
VASP calculation (PBE-GGA) on AcPuCo2 after structural relaxation.

```
AcPuCo2
1.0
-0.7774 0.4170 -3.3278
-3.3538 -0.0955 0.7715
0.0023 7.0182 0.8788
Co Pu Ac
2 1 1
direct
0.0000 0.0000 0.1910
0.0000 0.0000 0.8090
0.5000 0.5000 0.0000
0.5000 0.5000 0.5000
```

## Properties
Crystal system: tetragonal
M_tot: 3.7 μB/f.u.

Model two:
VASP calculation (PBE-GGA) on AcPuCo2 after structural relaxation.

```
AcPuCo2
1.0
-1.0538 3.9941 -0.9202
-1.4695 0.9676 -3.8489
-6.1258 0.6673 0.1800
Co Pu Ac
2 1 1
direct
0.2941 0.2941 0.1178
0.7059 0.7059 0.8822
0.0000 0.0000 0.0000
0.5000 0.5000 0.5000
```

## Properties
Crystal system: trigonal
M_tot: 3.9 μB/f.u.

It is model two that is the most stable of them.